[1]
Compound: Tb2CeGe2Pt7
Source: Alexandria
Functional: GGA-PBE
Structure: optimized geometry

* final energy: -6.50 eV/atom
* magnetic moment: 0.3 μB per formula unit
* mass density: 14.02 g cm⁻³
* ΔE_f: -11.3 eV per formula unit
* space-group type: C2/m

Unit cell a=4.0819 b=4.0819 c=14.1773 alpha=96.50 beta=96.50 gamma=89.15
Closest atoms and distances in Å follow each position.
Fractional coordinates of all 12 atoms:
Tb 0.1237 0.1237 0.3607  5 Pt 2.99-3.17, 4 Ge 3.14-3.32
Tb 0.8763 0.8763 0.6393  5 Pt 2.99-3.17, 4 Ge 3.14-3.32
Ce 0.0000 0.0000 0.0000  12 Pt 2.86-3.00
Ge 0.3979 0.3979 0.7400  5 Pt 2.43-2.50
Ge 0.6021 0.6021 0.2600  5 Pt 2.43-2.50
Pt 0.0625 0.5623 0.1568  2 Ge 2.50
Pt 0.3643 0.3643 0.5672  1 Ge 2.43, 1 Pt 2.66
Pt 0.4377 0.9375 0.8432  2 Ge 2.50
Pt 0.5000 0.5000 0.0000  4 Ce 2.86-2.91, 8 Pt 2.99-3.00
Pt 0.5623 0.0625 0.1568  2 Ge 2.50
Pt 0.6357 0.6357 0.4328  1 Ge 2.43, 1 Pt 2.66
Pt 0.9375 0.4377 0.8432  2 Ge 2.50

[2]
Compound: Ce2TcGe4Pt3
Source: Alexandria
Functional: GGA-PBE
Structure: optimized geometry

* final energy: -6.71 eV/atom
* magnetic moment: 1.5 μB per formula unit
* mass density: 10.95 g cm⁻³
* ΔE_f: -8.3 eV per formula unit
* space-group type: P-4m2

Unit cell a=4.3209 b=4.3209 c=10.1861 alpha=90.00 beta=90.00 gamma=90.00
Closest atoms and distances in Å follow each position.
Fractional coordinates of all 10 atoms:
Ce 0.0000 0.5000 0.2499  6 Pt 3.30-3.34, 8 Ge 3.30-3.34, 2 Tc 3.34
Ce 0.5000 0.0000 0.7501  6 Pt 3.30-3.34, 8 Ge 3.30-3.34, 2 Tc 3.34
Tc 0.0000 0.0000 0.5000  4 Ge 2.52
Ge 0.0000 0.0000 0.0000  4 Pt 2.53
Ge 0.0000 0.5000 0.6280  3 Pt 2.48-2.52, 2 Tc 2.52
Ge 0.5000 0.0000 0.3720  3 Pt 2.48-2.52, 2 Tc 2.52
Ge 0.5000 0.5000 0.0000  4 Pt 2.53
Pt 0.0000 0.5000 0.8713  5 Ge 2.48-2.53
Pt 0.5000 0.0000 0.1287  5 Ge 2.48-2.53
Pt 0.5000 0.5000 0.5000  4 Ge 2.52

[3]
Compound: CeTh2Ge3Pt4
Source: Alexandria
Functional: GGA-PBE
Structure: optimized geometry

* final energy: -6.78 eV/atom
* magnetic moment: 0.4 μB per formula unit
* mass density: 12.60 g cm⁻³
* ΔE_f: -9.0 eV per formula unit
* space-group type: P-4m2

Unit cell a=4.3570 b=4.3570 c=11.1237 alpha=90.00 beta=90.00 gamma=90.00
Closest atoms and distances in Å follow each position.
Fractional coordinates of all 10 atoms:
Ce 0.0000 0.0000 0.0000  4 Pt 2.81, 4 Ge 3.08
Th 0.0000 0.5000 0.7176  8 Pt 3.26-3.37, 4 Ge 3.26
Th 0.5000 0.0000 0.2824  8 Pt 3.26-3.37, 4 Ge 3.26
Ge 0.0000 0.5000 0.3785  5 Pt 2.44-2.56
Ge 0.5000 0.0000 0.6215  5 Pt 2.44-2.56
Ge 0.5000 0.5000 0.0000  4 Pt 2.81, 4 Ce 3.08
Pt 0.0000 0.0000 0.5000  4 Ge 2.56
Pt 0.0000 0.5000 0.1590  1 Ge 2.44
Pt 0.5000 0.0000 0.8410  1 Ge 2.44
Pt 0.5000 0.5000 0.5000  4 Ge 2.56

[4]
Compound: Ce2ThGe2Pt2
Source: Alexandria
Functional: GGA-PBE
Structure: optimized geometry

* final energy: -6.71 eV/atom
* magnetic moment: 1.2 μB per formula unit
* mass density: 11.36 g cm⁻³
* ΔE_f: -6.4 eV per formula unit
* space-group type: R-3m

Unit cell a=9.5748 b=9.5748 c=9.5748 alpha=26.42 beta=26.42 gamma=26.42
Closest atoms and distances in Å follow each position.
Fractional coordinates of all 7 atoms:
Ce 0.1385 0.1385 0.1385  3 Ce 2.97, 4 Ge 3.06-3.28, 3 Pt 3.18
Ce 0.8615 0.8615 0.8615  3 Ce 2.97, 4 Ge 3.06-3.28, 3 Pt 3.18
Th 0.0000 0.0000 0.0000  6 Pt 3.16, 6 Ge 3.29
Ge 0.2570 0.2570 0.2570  3 Pt 2.54
Ge 0.7430 0.7430 0.7430  3 Pt 2.54
Pt 0.4020 0.4020 0.4020  3 Ge 2.54
Pt 0.5980 0.5980 0.5980  3 Ge 2.54

[5]
Compound: Ce2Th2Ge4Pt
Source: Alexandria
Functional: GGA-PBE
Structure: optimized geometry

* final energy: -6.15 eV/atom
* magnetic moment: 3.1 μB per formula unit
* mass density: 9.35 g cm⁻³
* ΔE_f: -4.1 eV per formula unit
* space-group type: I4/mmm

Unit cell a=6.6041 b=6.6041 c=6.6041 alpha=113.63 beta=113.63 gamma=101.44
Closest atoms and distances in Å follow each position.
Fractional coordinates of all 9 atoms:
Ce 0.1700 0.1700 0.0000  1 Pt 2.76, 1 Ce 2.84, 4 Ge 2.98
Ce 0.8300 0.8300 0.0000  1 Pt 2.76, 1 Ce 2.84, 4 Ge 2.98
Th 0.2500 0.7500 0.5000  8 Ge 3.30, 4 Ce 3.68
Th 0.7500 0.2500 0.5000  8 Ge 3.30, 4 Ce 3.68
Ge 0.2561 0.2561 0.5123  1 Pt 2.49
Ge 0.2561 0.7439 0.0000  1 Pt 2.49
Ge 0.7439 0.2561 0.0000  1 Pt 2.49
Ge 0.7439 0.7439 0.4877  1 Pt 2.49
Pt 0.5000 0.5000 0.0000  4 Ge 2.49, 2 Ce 2.76

[6]
Compound: Ce2ThGe3Pt4
Source: Alexandria
Functional: GGA-PBE
Structure: optimized geometry

* final energy: -6.61 eV/atom
* magnetic moment: 1.5 μB per formula unit
* mass density: 11.67 g cm⁻³
* ΔE_f: -8.8 eV per formula unit
* space-group type: P-4m2

Unit cell a=4.3952 b=4.3952 c=11.1301 alpha=90.00 beta=90.00 gamma=90.00
Closest atoms and distances in Å follow each position.
Fractional coordinates of all 10 atoms:
Ce 0.0000 0.5000 0.2172  8 Pt 3.27-3.39, 4 Ge 3.30
Ce 0.5000 0.0000 0.7828  8 Pt 3.27-3.39, 4 Ge 3.30
Th 0.0000 0.0000 0.5000  4 Pt 2.84, 4 Ge 3.11
Ge 0.0000 0.5000 0.8823  5 Pt 2.45-2.56
Ge 0.5000 0.0000 0.1177  5 Pt 2.45-2.56
Ge 0.5000 0.5000 0.5000  4 Pt 2.84, 4 Th 3.11
Pt 0.0000 0.0000 0.0000  4 Ge 2.56
Pt 0.0000 0.5000 0.6619  1 Ge 2.45
Pt 0.5000 0.0000 0.3381  1 Ge 2.45
Pt 0.5000 0.5000 0.0000  4 Ge 2.56

[7]
Compound: CeThGe2Pt5
Source: Alexandria
Functional: GGA-PBE
Structure: optimized geometry

* final energy: -6.74 eV/atom
* magnetic moment: 0.4 μB per formula unit
* mass density: 14.51 g cm⁻³
* ΔE_f: -7.9 eV per formula unit
* space-group type: P4/mmm

Unit cell a=4.3400 b=4.3400 c=9.0675 alpha=90.00 beta=90.00 gamma=90.00
Closest atoms and distances in Å follow each position.
Fractional coordinates of all 9 atoms:
Ce 0.0000 0.0000 0.0000  12 Pt 2.99-3.07
Th 0.0000 0.0000 0.5000  8 Pt 3.29, 8 Ge 3.31
Ge 0.5000 0.5000 0.3638  1 Ge 2.47, 4 Pt 2.50
Ge 0.5000 0.5000 0.6362  1 Ge 2.47, 4 Pt 2.50
Pt 0.0000 0.5000 0.2271  2 Ge 2.50
Pt 0.0000 0.5000 0.7729  2 Ge 2.50
Pt 0.5000 0.0000 0.2271  2 Ge 2.50
Pt 0.5000 0.0000 0.7729  2 Ge 2.50
Pt 0.5000 0.5000 0.0000  8 Pt 2.99, 4 Ce 3.07, 2 Ge 3.30

[8]
Compound: Ce2TiGe3Pt4
Source: Alexandria
Functional: GGA-PBE
Structure: optimized geometry

* final energy: -6.70 eV/atom
* magnetic moment: 0.6 μB per formula unit
* mass density: 11.49 g cm⁻³
* ΔE_f: -9.2 eV per formula unit
* space-group type: P-4m2

Unit cell a=4.2443 b=4.2443 c=10.6445 alpha=90.00 beta=90.00 gamma=90.00
Closest atoms and distances in Å follow each position.
Fractional coordinates of all 10 atoms:
Ce 0.0000 0.5000 0.2443  6 Ge 3.22-3.45, 8 Pt 3.26-3.36, 2 Ti 3.45
Ce 0.5000 0.0000 0.7557  6 Ge 3.22-3.45, 8 Pt 3.26-3.36, 2 Ti 3.45
Ti 0.0000 0.0000 0.5000  4 Pt 2.57
Ge 0.0000 0.5000 0.8664  5 Pt 2.46-2.55
Ge 0.5000 0.0000 0.1336  5 Pt 2.46-2.55
Ge 0.5000 0.5000 0.5000  4 Pt 2.57
Pt 0.0000 0.0000 0.0000  4 Ge 2.55
Pt 0.0000 0.5000 0.6354  3 Ge 2.46-2.57, 2 Ti 2.57
Pt 0.5000 0.0000 0.3646  3 Ge 2.46-2.57, 2 Ti 2.57
Pt 0.5000 0.5000 0.0000  4 Ge 2.55

[9]
Compound: CeTmGePt
Source: Alexandria
Functional: GGA-PBE
Structure: optimized geometry

* final energy: -6.10 eV/atom
* magnetic moment: 0.9 μB per formula unit
* mass density: 10.59 g cm⁻³
* polymorph energy (0 for the lowest one): 0 meV per atom
* ΔE_f: -3.4 eV per formula unit
* space-group type: F-43m

Unit cell a=7.1259 b=7.1259 c=7.1259 alpha=90.00 beta=90.00 gamma=90.00
Closest atoms and distances in Å follow each position.
Fractional coordinates of all 16 atoms:
Ce 0.0000 0.0000 0.0000  4 Pt 3.09, 4 Ge 3.09
Ce 0.0000 0.5000 0.5000  4 Pt 3.09, 4 Ge 3.09
Ce 0.5000 0.0000 0.5000  4 Pt 3.09, 4 Ge 3.09
Ce 0.5000 0.5000 0.0000  4 Pt 3.09, 4 Ge 3.09
Tm 0.0000 0.0000 0.5000  4 Ge 3.09, 4 Pt 3.09
Tm 0.0000 0.5000 0.0000  4 Ge 3.09, 4 Pt 3.09
Tm 0.5000 0.0000 0.0000  4 Ge 3.09, 4 Pt 3.09
Tm 0.5000 0.5000 0.5000  4 Ge 3.09, 4 Pt 3.09
Ge 0.2500 0.2500 0.2500  4 Ce 3.09, 4 Tm 3.09
Ge 0.2500 0.7500 0.7500  4 Ce 3.09, 4 Tm 3.09
Ge 0.7500 0.2500 0.7500  4 Ce 3.09, 4 Tm 3.09
Ge 0.7500 0.7500 0.2500  4 Ce 3.09, 4 Tm 3.09
Pt 0.2500 0.2500 0.7500  4 Ce 3.09, 4 Tm 3.09
Pt 0.2500 0.7500 0.2500  4 Ce 3.09, 4 Tm 3.09
Pt 0.7500 0.2500 0.2500  4 Ce 3.09, 4 Tm 3.09
Pt 0.7500 0.7500 0.7500  4 Ce 3.09, 4 Tm 3.09

[10]
Compound: CeTmGePt
Source: Alexandria
Functional: GGA-PBE
Structure: optimized geometry

* final energy: -5.97 eV/atom
* magnetic moment: 0.9 μB per formula unit
* mass density: 9.02 g cm⁻³
* polymorph energy (0 for the lowest one): 134 meV per atom
* ΔE_f: -2.8 eV per formula unit
* space-group type: P4/nmm

Unit cell a=4.5178 b=4.5178 c=10.4031 alpha=90.00 beta=90.00 gamma=90.00
Closest atoms and distances in Å follow each position.
Fractional coordinates of all 8 atoms:
Ce 0.2500 0.2500 0.1628  1 Ge 2.85
Ce 0.7500 0.7500 0.8372  1 Ge 2.85
Tm 0.2500 0.7500 0.5000  4 Pt 2.78
Tm 0.7500 0.2500 0.5000  4 Pt 2.78
Ge 0.2500 0.2500 0.8891  1 Pt 2.42
Ge 0.7500 0.7500 0.1109  1 Pt 2.42
Pt 0.2500 0.2500 0.6565  1 Ge 2.42
Pt 0.7500 0.7500 0.3435  1 Ge 2.42

[11]
Compound: CeTmGe2Pt5
Source: Alexandria
Functional: GGA-PBE
Structure: optimized geometry

* final energy: -6.40 eV/atom
* magnetic moment: 0.5 μB per formula unit
* mass density: 14.29 g cm⁻³
* ΔE_f: -7.7 eV per formula unit
* space-group type: P4/mmm

Unit cell a=4.2825 b=4.2825 c=9.0611 alpha=90.00 beta=90.00 gamma=90.00
Closest atoms and distances in Å follow each position.
Fractional coordinates of all 9 atoms:
Ce 0.0000 0.0000 0.0000  12 Pt 2.98-3.03
Tm 0.0000 0.0000 0.5000  8 Pt 3.26, 8 Ge 3.26
Ge 0.5000 0.5000 0.3674  1 Ge 2.40, 4 Pt 2.48
Ge 0.5000 0.5000 0.6326  1 Ge 2.40, 4 Pt 2.48
Pt 0.0000 0.5000 0.2293  2 Ge 2.48
Pt 0.0000 0.5000 0.7707  2 Ge 2.48
Pt 0.5000 0.0000 0.2293  2 Ge 2.48
Pt 0.5000 0.0000 0.7707  2 Ge 2.48
Pt 0.5000 0.5000 0.0000  8 Pt 2.98, 4 Ce 3.03, 2 Ge 3.33

[12]
Compound: CeTm2Ge2Pt7
Source: Alexandria
Functional: GGA-PBE
Structure: optimized geometry

* final energy: -6.45 eV/atom
* magnetic moment: 0.3 μB per formula unit
* mass density: 14.39 g cm⁻³
* ΔE_f: -11.1 eV per formula unit
* space-group type: C2/m

Unit cell a=4.0537 b=4.0537 c=14.1687 alpha=96.92 beta=96.92 gamma=89.14
Closest atoms and distances in Å follow each position.
Fractional coordinates of all 12 atoms:
Ce 0.0000 0.0000 0.0000  12 Pt 2.84-3.01
Tm 0.1336 0.1336 0.3620  5 Pt 2.94-3.17, 3 Ge 3.10-3.17
Tm 0.8664 0.8664 0.6380  5 Pt 2.94-3.17, 3 Ge 3.10-3.17
Ge 0.3887 0.3887 0.7371  5 Pt 2.41-2.50
Ge 0.6113 0.6113 0.2629  5 Pt 2.41-2.50
Pt 0.0686 0.5685 0.1585  2 Ge 2.49-2.50
Pt 0.3555 0.3555 0.5650  1 Ge 2.41, 1 Pt 2.69
Pt 0.4315 0.9314 0.8415  2 Ge 2.49-2.50
Pt 0.5000 0.5000 0.0000  4 Ce 2.84-2.89, 8 Pt 2.99-3.01
Pt 0.5685 0.0686 0.1585  2 Ge 2.49-2.50
Pt 0.6445 0.6445 0.4350  1 Ge 2.41, 1 Pt 2.69
Pt 0.9314 0.4315 0.8415  2 Ge 2.49-2.50